## GdSnAuSe3 (GGA-PBE)

Data for a geometry-optimized GdSnAuSe3 structure.

The space group is C2/m (No. 12) and the conventional cell measures 18.399, 4.049 and 8.476 Å, with angles of 90.00, 102.21 and 90.00 degrees. The distinct sites, in fractional coordinates, are Gd at (0.163, 0.000, 0.093), Sn at (0.127, 0.000, 0.579), Au at (0.048, 0.500, 0.219), Se at (0.000, 0.000, 0.000), Se at (0.000, 0.500, 0.500), Se at (0.174, 0.500, 0.852) and Se at (0.190, 0.500, 0.346).

The value obtained for the magnetization is 0.00 μB per formula unit. The calculation puts the energy above the lowest structure with this stoichiometry at 46.2 meV/atom. The value obtained for the density is 7640 kg/m³.